No. 1
DFT (PBEsol) results for a relaxed SnAsHRu2 crystal.

a b c (Å): 3.7795 4.1685 4.1685
angles (deg): 90.00 90.00 90.00
With the nearest neighbours (Å) after each atom.
Fractional positions:
Ru 0.0000 0.5000 0.0000  2 H 2.08
As 0.5000 0.0000 0.0000  2 H 1.89
Sn 0.5000 0.5000 0.5000  8 Ru 2.81, 4 As 2.95
Ru 0.0000 0.0000 0.5000  2 H 2.08
H 0.0000 0.0000 0.0000  2 As 1.89, 4 Ru 2.08

Calculated values
The uncorrected energy comes out at -6.255 eV/atom.

---

No. 2
DFT (PBEsol) results for a relaxed Ir5Br crystal.

a b c (Å): 2.7722 4.4110 7.4376
angles (deg): 90.00 100.74 90.00
With the nearest neighbours (Å) after each atom.
Fractional positions:
Ir 0.3243 0.0000 0.6486  10 Ir 2.64-2.77
Ir 0.1157 0.5000 0.2313  2 Br 2.73, 10 Ir 2.73-2.95
Ir 0.4373 0.5000 0.8746  8 Ir 2.69-2.95, 4 Br 2.79
Br 0.0061 0.0000 0.0123  10 Ir 2.73-3.00, 2 Br 2.77
Ir 0.6705 0.0000 0.3409  10 Ir 2.64-2.77, 2 Br 2.77
Ir 0.7795 0.5000 0.5590  12 Ir 2.69-2.77

Calculated values
The uncorrected energy comes out at -7.842 eV/atom. As for the uncorrected formation energy: 3.93 eV/f.u.

---

No. 3
DFT (PBEsol) results for a relaxed InHgPb2 crystal.

a b c (Å): 4.7762 4.7762 5.7833
angles (deg): 114.39 114.39 90.00
With the nearest neighbours (Å) after each atom.
Fractional positions:
In 0.2500 0.7500 0.5000  4 Hg 3.35, 8 Pb 3.35-3.38
Hg 0.5000 0.5000 0.0000  4 In 3.35, 8 Pb 3.35-3.38
Pb 0.7500 0.2500 0.5000  4 Hg 3.35, 4 Pb 3.35, 4 In 3.38
Pb 0.0000 0.0000 0.0000  4 In 3.35, 4 Pb 3.35, 4 Hg 3.38

Calculated values
The uncorrected energy comes out at -2.879 eV/atom. As for the polymorph energy (0 for the lowest one): 0.8 kJ per mole of atoms.

---

No. 4
DFT (PBEsol) results for a relaxed Zr2CuPt crystal.

a b c (Å): 3.3548 3.3548 6.2529
angles (deg): 90.00 90.00 90.00
With the nearest neighbours (Å) after each atom.
Fractional positions:
Zr 0.0000 0.0000 0.9659  4 Pt 2.78, 1 Cu 2.83, 4 Zr 3.10
Zr 0.5000 0.5000 0.2849  4 Cu 2.77, 1 Pt 2.82, 4 Zr 3.10
Pt 0.5000 0.5000 0.7356  4 Cu 2.75, 5 Zr 2.78-2.82
Cu 0.0000 0.0000 0.5136  4 Pt 2.75, 5 Zr 2.77-2.83

Calculated values
The uncorrected energy comes out at -7.886 eV/atom.

---

No. 5
DFT (PBEsol) results for a relaxed NaLiCu3 crystal.

a b c (Å): 4.2832 4.2832 4.2832
angles (deg): 90.00 90.00 90.00
With the nearest neighbours (Å) after each atom.
Fractional positions:
Cu 0.0000 0.0000 0.5000  2 Li 2.14
Li 0.0000 0.0000 0.0000  6 Cu 2.14
Cu 0.0000 0.5000 0.0000  2 Li 2.14
Cu 0.5000 0.0000 0.0000  2 Li 2.14
Na 0.5000 0.5000 0.5000  12 Cu 3.03

Calculated values
The uncorrected energy comes out at -2.624 eV/atom.

---

No. 6
DFT (PBEsol) results for a relaxed LiAg2Os crystal.

a b c (Å): 2.6192 4.8912 4.9270
angles (deg): 97.02 90.00 105.53
With the nearest neighbours (Å) after each atom.
Fractional positions:
Ag 0.2514 0.5027 0.7370  5 Ag 2.62-2.90, 3 Li 2.73-2.84, 4 Os 2.77-2.81
Ag 0.0022 0.0044 0.0219  5 Ag 2.62-2.90, 4 Li 2.70-2.88, 3 Os 2.75-2.76
Li 0.4980 0.9959 0.5001  2 Li 2.62, 7 Ag 2.70-2.88, 3 Os 2.82-2.85
Os 0.7485 0.4969 0.2410  2 Os 2.62, 7 Ag 2.75-2.81, 3 Li 2.82-2.85

Calculated values
The uncorrected energy comes out at -4.862 eV/atom.

---

No. 7
DFT (PBEsol) results for a relaxed TaMnAl2 crystal.

a b c (Å): 2.9583 4.5116 4.5116
angles (deg): 90.00 90.00 90.00
With the nearest neighbours (Å) after each atom.
Fractional positions:
Al 0.0000 0.0000 0.5000  4 Ta 2.70, 4 Mn 2.70, 2 Al 2.96
Ta 0.5000 0.0000 0.0000  8 Al 2.70, 2 Ta 2.96
Mn 0.5000 0.5000 0.5000  8 Al 2.70, 2 Mn 2.96
Al 0.0000 0.5000 0.0000  4 Mn 2.70, 4 Ta 2.70, 2 Al 2.96

Calculated values
The uncorrected energy comes out at -7.615 eV/atom. As for the polymorph energy (0 for the lowest one): 21.0 kJ per mole of atoms.

---

No. 8
DFT (PBEsol) results for a relaxed CaCoHg crystal.

a b c (Å): 3.3559 3.3559 6.3390
angles (deg): 90.00 90.00 120.00
With the nearest neighbours (Å) after each atom.
Fractional positions:
Hg 0.6667 0.3333 0.3700  3 Co 2.65
Ca 0.0000 0.0000 0.9744  3 Co 2.80
Co 0.3333 0.6667 0.6556  3 Hg 2.65, 3 Ca 2.80

Calculated values
The uncorrected energy comes out at -3.092 eV/atom.

---

No. 9
DFT (PBEsol) results for a relaxed Ta2TePt crystal.

a b c (Å): 3.0263 3.0263 9.2356
angles (deg): 80.57 80.57 60.00
With the nearest neighbours (Å) after each atom.
Fractional positions:
Ta 0.2527 0.2527 0.2418  3 Pt 2.80, 3 Te 2.92, 6 Ta 3.03
Te 0.5000 0.5000 0.5000  6 Ta 2.92, 6 Te 3.03
Pt 0.0000 0.0000 0.0000  6 Ta 2.80, 6 Pt 3.03
Ta 0.7473 0.7473 0.7582  3 Pt 2.80, 3 Te 2.92, 6 Ta 3.03

Calculated values
The uncorrected energy comes out at -8.801 eV/atom. As for the uncorrected formation energy: 0.39 eV/f.u.

---

No. 10
DFT (PBEsol) results for a relaxed TaOs2Ru crystal.

a b c (Å): 2.7194 4.8130 5.2693
angles (deg): 115.65 102.47 95.29
With the nearest neighbours (Å) after each atom.
Fractional positions:
Os 0.0000 0.0000 0.5000  6 Os 2.65-2.87, 2 Ru 2.69, 2 Ta 2.69
Os 0.5000 0.5000 0.5000  6 Os 2.65-2.87, 2 Ta 2.69, 2 Ru 2.69
Ta 0.5000 0.0000 0.0000  4 Ru 2.65-2.87, 4 Os 2.69, 2 Ta 2.72
Ru 0.0000 0.5000 0.0000  4 Ta 2.65-2.87, 4 Os 2.69, 2 Ru 2.72

Calculated values
The uncorrected energy comes out at -11.529 eV/atom. As for the polymorph energy (0 for the lowest one): 39.5 kJ per mole of atoms.

---

No. 11
DFT (PBEsol) results for a relaxed ScAl2Tc crystal.

a b c (Å): 3.4154 4.3764 5.0836
angles (deg): 115.50 109.63 90.00
With the nearest neighbours (Å) after each atom.
Fractional positions:
Tc 0.0000 0.5000 0.0000  4 Al 2.64, 4 Sc 2.78
Al 0.2643 0.2643 0.5287  2 Tc 2.64, 4 Al 2.79, 2 Sc 2.83
Sc 0.5000 0.0000 0.0000  4 Tc 2.78, 8 Al 2.83-2.97
Al 0.7357 0.7357 0.4713  2 Tc 2.64, 4 Al 2.79, 2 Sc 2.83

Calculated values
The uncorrected energy comes out at -6.900 eV/atom. As for the polymorph energy (0 for the lowest one): 0.1 kJ per mole of atoms.

---

No. 12
DFT (PBEsol) results for a relaxed CsAsIrSe2 crystal.

a b c (Å): 5.4624 5.4624 5.6132
angles (deg): 90.00 90.00 90.00
With the nearest neighbours (Å) after each atom.
Fractional positions:
Se 0.0000 0.5000 0.0000  2 Cs 2.73
Se 0.5000 0.0000 0.0000  2 Cs 2.73
Cs 0.0000 0.0000 0.0000  4 Se 2.73, 2 As 2.81
Ir 0.5000 0.5000 0.5000  4 As 3.86, 8 Se 3.92
As 0.0000 0.0000 0.5000  2 Cs 2.81

Calculated values
The uncorrected energy comes out at -2.206 eV/atom. As for the uncorrected formation energy: 12.54 eV/f.u.

---

No. 13
DFT (PBEsol) results for a relaxed Li2VP5O15 crystal.

a b c (Å): 5.1899 9.4936 13.0331
angles (deg): 90.00 90.00 96.09
With the nearest neighbours (Å) after each atom.
Fractional positions:
P 0.9978 0.5356 0.1372  4 O 1.50-1.60
O 0.0905 0.7014 0.1336  2 P 1.60-1.62
Li 0.0183 0.9593 0.6228  4 O 2.10-2.12
O 0.1622 0.4511 0.4287  1 P 1.50
P 0.6930 0.2025 0.9322  4 O 1.49-1.62
V 0.5000 0.5000 0.5000  6 O 1.97-2.00
O 0.5090 0.8559 0.3455  2 P 1.60-1.62
O 0.7383 0.0577 0.2500  1 P 1.49
O 0.1779 0.9146 0.0205  1 P 1.49
O 0.4510 0.7041 0.4997  1 P 1.50
Li 0.9817 0.0407 0.1228  4 O 2.10-2.12
Li 0.0183 0.9593 0.8772  4 O 2.10-2.12
O 0.8221 0.0854 0.9795  1 P 1.49
O 0.4910 0.1441 0.8455  2 P 1.60-1.62
O 0.8378 0.5489 0.5713  1 P 1.50
P 0.0022 0.4644 0.8628  4 O 1.50-1.60
O 0.0711 0.4931 0.2500  2 P 1.58
O 0.8378 0.5489 0.9287  1 P 1.50
O 0.5490 0.2959 0.5003  1 P 1.50
O 0.2924 0.4828 0.8728  1 P 1.50
V 0.5000 0.5000 0.0000  6 O 1.97-2.00
O 0.4510 0.7041 0.0003  1 P 1.50
O 0.9289 0.5069 0.7500  2 P 1.58
P 0.9978 0.5356 0.3628  4 O 1.50-1.60
O 0.4910 0.1441 0.6545  2 P 1.60-1.62
P 0.3070 0.7975 0.4322  4 O 1.49-1.62
O 0.7708 0.9809 0.7500  1 P 1.50
P 0.5114 0.0361 0.7500  4 O 1.49-1.62
Li 0.9817 0.0407 0.3772  4 O 2.10-2.12
O 0.2617 0.9423 0.7500  1 P 1.49
O 0.7076 0.5172 0.1272  1 P 1.50
O 0.1779 0.9146 0.4795  1 P 1.49
P 0.3070 0.7975 0.0678  4 O 1.49-1.62
O 0.9095 0.2986 0.6336  2 P 1.60-1.62
O 0.0905 0.7014 0.3664  2 P 1.60-1.62
O 0.5090 0.8559 0.1545  2 P 1.60-1.62
P 0.4886 0.9639 0.2500  4 O 1.49-1.62
O 0.7076 0.5172 0.3728  1 P 1.50
P 0.0022 0.4644 0.6372  4 O 1.50-1.60
O 0.8221 0.0854 0.5205  1 P 1.49
O 0.5490 0.2959 0.9997  1 P 1.50
O 0.2924 0.4828 0.6272  1 P 1.50
O 0.2292 0.0191 0.2500  1 P 1.50
O 0.1622 0.4511 0.0713  1 P 1.50
O 0.9095 0.2986 0.8664  2 P 1.60-1.62
P 0.6930 0.2025 0.5678  4 O 1.49-1.62

Calculated values
The uncorrected energy comes out at -7.477 eV/atom. As for the uncorrected formation energy: -50.70 eV/f.u.

---

No. 14
DFT (PBEsol) results for a relaxed HfIn3Mo crystal.

a b c (Å): 5.0876 5.0876 5.0876
angles (deg): 90.00 90.00 90.00
With the nearest neighbours (Å) after each atom.
Fractional positions:
In 0.0000 0.0000 0.5000  2 Mo 2.54
In 0.5000 0.0000 0.0000  2 Mo 2.54
Hf 0.5000 0.5000 0.5000  12 In 3.60
Mo 0.0000 0.0000 0.0000  6 In 2.54
In 0.0000 0.5000 0.0000  2 Mo 2.54

Calculated values
The uncorrected energy comes out at -5.205 eV/atom.

---

No. 15
DFT (PBEsol) results for a relaxed ZrGa2W crystal.

a b c (Å): 4.5127 4.5127 4.5127
angles (deg): 60.00 60.00 60.00
With the nearest neighbours (Å) after each atom.
Fractional positions:
Zr 0.0000 0.0000 0.0000  8 Ga 2.76
W 0.5000 0.5000 0.5000  8 Ga 2.76
Ga 0.7500 0.7500 0.7500  4 Zr 2.76, 4 W 2.76
Ga 0.2500 0.2500 0.2500  4 W 2.76, 4 Zr 2.76

Calculated values
The uncorrected energy comes out at -7.426 eV/atom.

---

No. 16
DFT (PBEsol) results for a relaxed PdCN2F crystal.

a b c (Å): 3.4661 3.4661 3.3684
angles (deg): 90.00 90.00 90.00
With the nearest neighbours (Å) after each atom.
Fractional positions:
Pd 0.5000 0.5000 0.5000  8 N 2.42, 4 F 2.45
C 0.0000 0.0000 0.0000  2 F 1.68, 4 N 1.73
F 0.0000 0.0000 0.5000  2 C 1.68
N 0.5000 0.0000 0.0000  2 C 1.73
N 0.0000 0.5000 0.0000  2 C 1.73

Calculated values
The uncorrected energy comes out at -5.275 eV/atom. As for the uncorrected formation energy: 8.21 eV/f.u.

---

No. 17
DFT (PBEsol) results for a relaxed MnHRh3 crystal.

a b c (Å): 3.8086 3.8086 3.8086
angles (deg): 90.00 90.00 90.00
With the nearest neighbours (Å) after each atom.
Fractional positions:
Mn 0.5000 0.5000 0.5000  12 Rh 2.69
Rh 0.5000 0.0000 0.0000  2 H 1.90
Rh 0.0000 0.0000 0.5000  2 H 1.90
Rh 0.0000 0.5000 0.0000  2 H 1.90
H 0.0000 0.0000 0.0000  6 Rh 1.90

Calculated values
The uncorrected energy comes out at -7.574 eV/atom.

---

No. 18
DFT (PBEsol) results for a relaxed Na2Mn2S3 crystal.

a b c (Å): 6.8271 9.8907 9.8907
angles (deg): 84.23 70.27 70.27
With the nearest neighbours (Å) after each atom.
Fractional positions:
Na 0.6292 0.9840 0.8114  4 S 2.75-2.85
Mn 0.2009 0.7858 0.6365  4 S 2.36-2.43
S 0.4451 0.8542 0.4207  3 Mn 2.42-2.46
Mn 0.2552 0.0836 0.5546  4 S 2.36-2.46
S 0.5701 0.4272 0.2773  3 Mn 2.41-2.43
S 0.0549 0.5793 0.1458  3 Mn 2.42-2.46
Na 0.8708 0.1886 0.0160  4 S 2.75-2.85
S 0.4499 0.2289 0.9975  2 Mn 2.36
S 0.9451 0.4207 0.8542  3 Mn 2.42-2.46
Mn 0.7552 0.5546 0.0836  4 S 2.36-2.46
Na 0.2500 0.4303 0.5697  6 S 2.90-2.97
S 0.0501 0.0025 0.7711  2 Mn 2.36
Na 0.3708 0.0160 0.1886  4 S 2.75-2.85
Mn 0.7448 0.9164 0.4454  4 S 2.36-2.46
S 0.9299 0.7227 0.5728  3 Mn 2.41-2.43
S 0.5501 0.7711 0.0025  2 Mn 2.36
Mn 0.7009 0.6365 0.7858  4 S 2.36-2.43
S 0.4299 0.5728 0.7227  3 Mn 2.41-2.43
Na 0.2500 0.7179 0.2821  6 S 2.88-2.96
Na 0.1292 0.8114 0.9840  4 S 2.75-2.85
S 0.5549 0.1458 0.5793  3 Mn 2.42-2.46
Na 0.7500 0.2821 0.7179  6 S 2.88-2.96
S 0.0701 0.2773 0.4272  3 Mn 2.41-2.43
Mn 0.2448 0.4454 0.9164  4 S 2.36-2.46
S 0.9499 0.9975 0.2289  2 Mn 2.36
Na 0.7500 0.5697 0.4303  6 S 2.90-2.97
Mn 0.2991 0.3635 0.2142  4 S 2.36-2.43
Mn 0.7991 0.2142 0.3635  4 S 2.36-2.43

Calculated values
The uncorrected energy comes out at -5.772 eV/atom. As for the uncorrected formation energy: -4.93 eV/f.u.

---

No. 19
DFT (PBEsol) results for a relaxed TcPO2F crystal.

a b c (Å): 3.8010 3.8010 4.1444
angles (deg): 90.00 90.00 90.00
With the nearest neighbours (Å) after each atom.
Fractional positions:
O 0.0000 0.5000 0.0000  2 Tc 1.90
F 0.0000 0.0000 0.5000  2 Tc 2.07
P 0.5000 0.5000 0.5000  4 F 2.69, 8 O 2.81
Tc 0.0000 0.0000 0.0000  4 O 1.90, 2 F 2.07
O 0.5000 0.0000 0.0000  2 Tc 1.90

Calculated values
The uncorrected energy comes out at -6.367 eV/atom. As for the uncorrected formation energy: -2.35 eV/f.u.

---

No. 20
DFT (PBEsol) results for a relaxed Co2AsPb crystal.

a b c (Å): 3.0102 3.4034 6.4329
angles (deg): 105.34 103.53 90.00
With the nearest neighbours (Å) after each atom.
Fractional positions:
As 0.2067 0.7067 0.4134  6 Co 2.28-2.36
Co 0.7609 0.2609 0.5219  4 As 2.36, 2 Co 2.65
Pb 0.4522 0.4522 0.9045  6 Co 2.74-2.75, 2 Pb 3.01
Co 0.0801 0.0801 0.1603  2 As 2.28

Calculated values
The uncorrected energy comes out at -6.021 eV/atom. As for the polymorph energy (0 for the lowest one): 0.0 kJ per mole of atoms.

---

Magnetization across the listed records, respectively: 0.0001, 0.0000, 0.0000, 0.0000, 0.0000, 0.0000, 0.7741, 0.2708, 0.0000, 0.1343, 0.0000, 0.5772, 0.0870, 0.3088, 0.0000, 0.0001, 0.6141, 1.4307, 0.2955, 0.0010 μB/atom.